1.
BaMn2As2O6: relaxed, PBE+U.

Results
The space-group type is P-1 (2). The raw total energy comes out at -72.68 eV/cell.

Lattice parameters (Å, degrees): 5.2029 5.9424 6.8119 78.47 70.82 83.28
Closest atoms and distances in Å follow each position.
Sites, in units of the cell vectors:
Ba  0.0000  0.0000  0.0000  4 O 2.64-2.66
Mn  0.0430  0.7519  0.5400  5 O 1.91-2.12
Mn  0.9570  0.2481  0.4600  5 O 1.91-2.12
As  0.4449  0.4347  0.8470  2 O 1.76-1.83
As  0.5551  0.5653  0.1530  2 O 1.76-1.83
O  0.1741  0.0105  0.3204  2 Mn 1.91-1.93
O  0.2151  0.5244  0.3437  1 As 1.83, 1 Mn 2.02
O  0.2485  0.6775  0.7696  1 As 1.76
O  0.7515  0.3225  0.2304  1 As 1.76
O  0.7849  0.4756  0.6563  1 As 1.83, 1 Mn 2.02
O  0.8259  0.9895  0.6796  2 Mn 1.91-1.93

2.
BaMnAsO6: relaxed, PBE+U.

Results
The space-group type is P312 (149). The raw total energy comes out at -58.21 eV/cell.

Lattice parameters (Å, degrees): 5.0314 5.0314 5.8787 90.00 90.00 120.00
Closest atoms and distances in Å follow each position.
Sites, in units of the cell vectors:
Ba  0.0000  0.0000  0.0000  6 O 2.71
Mn  0.6667  0.3333  0.5000  6 O 1.92
As  0.3333  0.6667  0.5000  6 O 1.86
O  0.0084  0.3947  0.6829  1 As 1.86, 1 Mn 1.92
O  0.0084  0.6137  0.3171  1 As 1.86, 1 Mn 1.92
O  0.3863  0.3947  0.3171  1 As 1.86, 1 Mn 1.92
O  0.3863  0.9916  0.6829  1 As 1.86, 1 Mn 1.92
O  0.6053  0.6137  0.6829  1 As 1.86, 1 Mn 1.92
O  0.6053  0.9916  0.3171  1 As 1.86, 1 Mn 1.92

3.
Ba2MnAs2O6: relaxed, PBE+U.

Results
The space-group type is C2/m (12). The raw total energy comes out at -69.07 eV/cell.

Lattice parameters (Å, degrees): 6.1140 6.1140 5.7532 106.91 106.91 65.02
Closest atoms and distances in Å follow each position.
Sites, in units of the cell vectors:
Ba  0.1932  0.1932  0.1447  5 O 2.68-2.81
Ba  0.8068  0.8068  0.8553  5 O 2.68-2.81
Mn  0.0000  0.0000  0.5000  4 O 1.93
As  0.4678  0.4678  0.7396  1 O 1.77
As  0.5322  0.5322  0.2604  1 O 1.77
O  0.1924  0.7942  0.2502  1 Mn 1.93, 1 As 2.01
O  0.2058  0.8076  0.7498  1 Mn 1.93, 1 As 2.01
O  0.2869  0.2869  0.6657  1 As 1.77
O  0.7131  0.7131  0.3343  1 As 1.77
O  0.7942  0.1924  0.2502  1 Mn 1.93, 1 As 2.01
O  0.8076  0.2058  0.7498  1 Mn 1.93, 1 As 2.01

Number 1: D(E_F) 0.2 states/eV/f.u.. Number 2: D(E_F) 3.2 states/eV/f.u.. Number 3: D(E_F) 1.8 states/eV/f.u..